No. 1
A relaxed KAg2 crystal, computed with PBE.

Total energy ... -2.15 eV per atom
Energy of formation ... 34.7 kJ/mol of formula units
Volume ... 28.87 Å³/atom

Cell lengths 6.522, 6.522, 8.377 Å; angles 88.83, 88.83, 29.10 degrees
Sites, in units of the cell vectors:
K 0.988 0.988 0.583
K 0.231 0.231 0.940
Ag 0.958 0.958 0.157
Ag 0.306 0.306 0.316
Ag 0.728 0.728 0.571
Ag 0.623 0.623 0.267

No. 2
A relaxed KAg crystal, computed with PBE.

Total energy ... -1.77 eV per atom
Energy above the lowest structure with this stoichiometry ... 0.1863 eV/atom
Energy of formation ... 38.7 kJ/mol of formula units
Volume ... 53.04 Å³/atom

Cell lengths 5.940, 5.940, 6.944 Å; angles 90.00, 90.00, 120.00 degrees
Sites, in units of the cell vectors:
K 0.333 0.667 0.250
K 0.667 0.333 0.750
Ag 0.333 0.667 0.750
Ag 0.667 0.333 0.250